# LaPb (GGA-PBEsol, optimized geometry)
data_LaPb
_chemical_formula_sum 'La2 Pb2'
_space_group_name_H-M_alt 'P 4/n m m'
_space_group_IT_number 129
_cell_length_a 5.989
_cell_length_b 5.989
_cell_length_c 3.361
_cell_angle_alpha 90.00
_cell_angle_beta 90.00
_cell_angle_gamma 90.00
loop_
_space_group_symop_operation_xyz
'x,y,z'
'-x,-y,-z'
'-y+1/2,x,z'
'y+1/2,-x,-z'
'-x+1/2,-y+1/2,z'
'x+1/2,y+1/2,-z'
'y,-x+1/2,z'
'-y,x+1/2,-z'
'x+1/2,-y,-z'
'-x+1/2,y,z'
'-y,-x,-z'
'y,x,z'
'-x,y+1/2,-z'
'x,-y+1/2,z'
'y+1/2,x+1/2,-z'
'-y+1/2,-x+1/2,z'
loop_
_atom_site_label
_atom_site_fract_x
_atom_site_fract_y
_atom_site_fract_z
La1 0.250 0.250 0.002
Pb1 0.250 0.750 0.500
# **Crystal system**: tetragonal
# **ΔE_f**: -0.59 eV per atom


# La3Pb (GGA-PBEsol, optimized geometry)
data_La3Pb
_chemical_formula_sum 'La3 Pb1'
_space_group_name_H-M_alt 'P m m m'
_space_group_IT_number 47
_space_group_name_Hall '-P 2 2'
_cell_length_a 3.658
_cell_length_b 4.710
_cell_length_c 7.240
_cell_angle_alpha 90.00
_cell_angle_beta 90.00
_cell_angle_gamma 90.00
loop_
_atom_site_label
_atom_site_fract_x
_atom_site_fract_y
_atom_site_fract_z
La1 0.000 0.000 0.000
La2 0.500 0.500 0.270
Pb1 0.000 0.000 0.500
# **Crystal system**: orthorhombic
# **ΔE_f**: -0.32 eV per atom


# LaPb7 (GGA-PBEsol, optimized geometry)
data_LaPb7
_chemical_formula_sum 'La4 Pb28'
_space_group_name_H-M_alt 'F m -3 m'
_space_group_IT_number 225
_space_group_name_Hall '-F 4 2 3'
_cell_length_a 9.796
_cell_length_b 9.796
_cell_length_c 9.796
_cell_angle_alpha 90.00
_cell_angle_beta 90.00
_cell_angle_gamma 90.00
loop_
_atom_site_label
_atom_site_fract_x
_atom_site_fract_y
_atom_site_fract_z
La1 0.000 0.000 0.000
Pb1 0.000 0.000 0.500
Pb2 0.000 0.250 0.250
# **Crystal system**: cubic
# **ΔE_f**: -0.21 eV per atom


# LaPb (GGA-PBEsol, optimized geometry)
data_LaPb
_chemical_formula_sum 'La12 Pb12'
_space_group_name_H-M_alt 'P b c m'
_space_group_IT_number 57
_space_group_name_Hall '-P 2c 2b'
_cell_length_a 10.986
_cell_length_b 10.083
_cell_length_c 6.722
_cell_angle_alpha 90.00
_cell_angle_beta 90.00
_cell_angle_gamma 90.00
loop_
_atom_site_label
_atom_site_fract_x
_atom_site_fract_y
_atom_site_fract_z
La1 0.106 0.250 0.000
La2 0.191 0.627 0.250
La3 0.392 0.033 0.250
Pb1 0.095 0.554 0.750
Pb2 0.347 0.135 0.750
Pb3 0.423 0.750 0.000
# **Crystal system**: orthorhombic
# **ΔE_f**: -0.63 eV per atom